Below is a geometry-optimized TiNb3Si structure, with properties calculated at the GGA-PBE level.

The structure belongs to space group Pm-3m (No. 221); the cell edges are 4.674, 4.674 and 4.674 Å and the angles 90.00°, 90.00° and 90.00°. The distinct sites, in fractional coordinates, are Ti at (0.000, 0.000, 0.000), Nb at (0.000, 0.500, 0.500) and Si at (0.500, 0.500, 0.500).

For the density of states at the Fermi level, the calculation gives 5.62 states/eV/f.u. The energy above the most stable polymorph in this dataset is 0.225 eV/atom. The spin magnetization comes out at 0.0 μB/cell. The calculation puts the total energy at -8.11 eV per atom. The uncorrected formation energy comes out at 0.594 eV/atom.



Below is a geometry-optimized ScCo3Ag structure, with properties calculated at the GGA-PBE level.

The structure belongs to space group Pm-3m (No. 221); the cell edges are 4.612, 4.612 and 4.612 Å and the angles 90.00°, 90.00° and 90.00°. The distinct sites, in fractional coordinates, are Sc at (0.000, 0.000, 0.000), Co at (0.000, 0.500, 0.500) and Ag at (0.500, 0.500, 0.500).

For the density of states at the Fermi level, the calculation gives 19.76 states/eV/f.u. The energy above the most stable polymorph in this dataset is 0.000 eV/atom. The spin magnetization comes out at 4.6 μB/cell. As for the energy relative to the elements: 1.2702 eV per atom. The calculation puts the total energy at -4.83 eV per atom.



- What is the spin magnetization in the first record?
  0.0 μB/cell